--- 1 ---
The following is a GGA-PBE calculation of an optimized crystal structure of PrSmZnPd, from the Alexandria database.

Lattice parameters (Å, degrees): 5.1624 5.1624 5.1624 60.00 60.00 60.00
Last column: nearest neighbours and their distance in Å.
Fractional positions:
Pr 0.0000 0.0000 0.0000  4 Pd 3.16, 4 Zn 3.16
Sm 0.5000 0.5000 0.5000  4 Pd 3.16, 4 Zn 3.16
Zn 0.2500 0.2500 0.2500  4 Pr 3.16, 4 Sm 3.16
Pd 0.7500 0.7500 0.7500  4 Pr 3.16, 4 Sm 3.16

Values from the calculation:
Crystal system: cubic
Symmetry: F-43m (216)

---

--- 2 ---
The following is a GGA-PBE calculation of an optimized crystal structure of PrSmZnPd, from the Alexandria database.

Lattice parameters (Å, degrees): 4.5787 5.8984 5.8984 39.09 90.00 90.00
Last column: nearest neighbours and their distance in Å.
Fractional positions:
Pr 0.0000 0.0000 0.0000  3 Pd 3.09-3.18, 4 Zn 3.12
Sm 0.5000 0.7180 0.7180  3 Zn 3.08-3.19, 4 Pd 3.12
Zn 0.5000 0.4311 0.4311  2 Pd 2.80, 2 Sm 3.08, 4 Pr 3.12
Pd 0.0000 0.2864 0.2864  2 Zn 2.80, 2 Pr 3.09, 4 Sm 3.12

Values from the calculation:
Crystal system: orthorhombic
Symmetry: Amm2 (38)

---

The structure with the most favorable energy is 2; the runner-up is 34 meV per atom above it.

---

--- 1 ---
The following is a GGA-PBE calculation of an optimized crystal structure of PrSn2Pd5, from the Alexandria database.

Lattice parameters (Å, degrees): 6.9199 6.9199 6.9199 146.52 116.85 73.40
Last column: nearest neighbours and their distance in Å.
Fractional positions:
Pr 0.0000 0.0000 0.0000  10 Pd 3.28-3.62, 4 Sn 3.49
Sn 0.2580 0.7580 0.5000  7 Pd 2.61-2.76
Sn 0.7420 0.2420 0.5000  7 Pd 2.61-2.76
Pd 0.1729 0.3718 0.8011  3 Sn 2.61-2.76, 4 Pd 2.84-2.88
Pd 0.4293 0.6282 0.8011  3 Sn 2.61-2.76, 4 Pd 2.84-2.88
Pd 0.5000 0.0000 0.5000  2 Sn 2.69, 8 Pd 2.84
Pd 0.5707 0.3718 0.1989  3 Sn 2.61-2.76, 4 Pd 2.84-2.88
Pd 0.8271 0.6282 0.1989  3 Sn 2.61-2.76, 4 Pd 2.84-2.88

Values from the calculation:
Crystal system: orthorhombic
Symmetry: Immm (71)

---

--- 2 ---
The following is a GGA-PBE calculation of an optimized crystal structure of PrSn2Pd5, from the Alexandria database.

Lattice parameters (Å, degrees): 7.3192 7.3192 7.3192 145.67 132.88 59.58
Last column: nearest neighbours and their distance in Å.
Fractional positions:
Pr 0.0000 0.0000 0.0000  10 Pd 2.93-3.04
Sn 0.2865 0.7865 0.5000  7 Pd 2.66-2.85
Sn 0.7135 0.2135 0.5000  7 Pd 2.66-2.85
Pd 0.1472 0.3838 0.7635  3 Sn 2.66-2.85, 4 Pd 2.77-2.96
Pd 0.3797 0.6162 0.7635  3 Sn 2.66-2.85, 4 Pd 2.77-2.96
Pd 0.5000 0.0000 0.5000  2 Sn 2.71, 2 Pr 2.93, 8 Pd 2.96
Pd 0.6203 0.3838 0.2365  3 Sn 2.66-2.85, 4 Pd 2.77-2.96
Pd 0.8528 0.6162 0.2365  3 Sn 2.66-2.85, 4 Pd 2.77-2.96

Values from the calculation:
Crystal system: orthorhombic
Symmetry: Immm (71)

---

The structure with the most favorable energy is 2; the runner-up is 32 meV per atom above it.

---

--- 1 ---
The following is a GGA-PBE calculation of an optimized crystal structure of PrSnPd3, from the Alexandria database.

Lattice parameters (Å, degrees): 5.5895 7.7231 5.3048 90.00 90.00 90.00
Last column: nearest neighbours and their distance in Å.
Fractional positions:
Pr 0.0000 0.0000 0.0000  6 Pd 2.79-3.00
Pr 0.5000 0.5000 0.0000  6 Pd 2.79-3.00
Sn 0.0000 0.5000 0.5000  6 Pd 2.58-2.67
Sn 0.5000 0.0000 0.5000  6 Pd 2.58-2.67
Pd 0.0000 0.5000 0.0000  2 Sn 2.65, 2 Pr 2.79
Pd 0.0854 0.1715 0.5000  2 Sn 2.58-2.67, 1 Pd 2.82
Pd 0.4146 0.6715 0.5000  2 Sn 2.58-2.67, 1 Pd 2.82
Pd 0.5000 0.0000 0.0000  2 Sn 2.65, 2 Pr 2.79
Pd 0.5854 0.3285 0.5000  2 Sn 2.58-2.67, 1 Pd 2.82
Pd 0.9146 0.8285 0.5000  2 Sn 2.58-2.67, 1 Pd 2.82

Values from the calculation:
Crystal system: orthorhombic
Symmetry: Pbam (55)

---

--- 2 ---
The following is a GGA-PBE calculation of an optimized crystal structure of PrSnPd3, from the Alexandria database.

Lattice parameters (Å, degrees): 7.2028 7.2028 5.2742 90.00 90.00 131.42
Last column: nearest neighbours and their distance in Å.
Fractional positions:
Pr 0.0930 0.9070 0.7500  8 Pd 3.14-3.47, 2 Sn 3.21
Pr 0.9070 0.0930 0.2500  8 Pd 3.14-3.47, 2 Sn 3.21
Sn 0.3139 0.6861 0.2500  4 Pd 2.62-2.78
Sn 0.6861 0.3139 0.7500  4 Pd 2.62-2.78
Pd 0.1048 0.4070 0.7500  1 Sn 2.62, 3 Pd 2.79-2.89
Pd 0.4070 0.1048 0.2500  1 Sn 2.62, 3 Pd 2.79-2.89
Pd 0.5000 0.5000 0.0000  6 Pd 2.64-2.79, 2 Sn 2.78
Pd 0.5000 0.5000 0.5000  6 Pd 2.64-2.79, 2 Sn 2.78
Pd 0.5930 0.8952 0.7500  1 Sn 2.62, 3 Pd 2.79-2.89
Pd 0.8952 0.5930 0.2500  1 Sn 2.62, 3 Pd 2.79-2.89

Values from the calculation:
Crystal system: orthorhombic
Symmetry: Cmcm (63)

---

The structure with the most favorable energy is 2; the runner-up is 168 meV per atom above it.

---

--- 1 ---
The following is a GGA-PBE calculation of an optimized crystal structure of PrSn2Pd4, from the Alexandria database.

Lattice parameters (Å, degrees): 8.6676 8.6676 8.6676 30.44 30.44 30.44
Last column: nearest neighbours and their distance in Å.
Fractional positions:
Pr 0.0000 0.0000 0.0000  8 Pd 3.25-3.26, 6 Sn 3.50
Sn 0.2399 0.2399 0.2399  7 Pd 2.66-2.79
Sn 0.7601 0.7601 0.7601  7 Pd 2.66-2.79
Pd 0.1317 0.1317 0.1317  4 Sn 2.68-2.79, 3 Pd 2.96
Pd 0.4103 0.4103 0.4103  3 Sn 2.66, 3 Pd 2.96
Pd 0.5897 0.5897 0.5897  3 Sn 2.66, 3 Pd 2.96
Pd 0.8683 0.8683 0.8683  4 Sn 2.68-2.79, 3 Pd 2.96

Values from the calculation:
Crystal system: trigonal
Symmetry: R-3m (166)

---

--- 2 ---
The following is a GGA-PBE calculation of an optimized crystal structure of PrSn2Pd4, from the Alexandria database.

Lattice parameters (Å, degrees): 8.1109 8.1109 4.2764 90.00 90.00 90.00
Last column: nearest neighbours and their distance in Å.
Fractional positions:
Pr 0.0000 0.0000 0.0000  6 Sn 3.24-3.29, 12 Pd 3.53-3.62
Pr 0.5000 0.5000 0.5000  6 Sn 3.24-3.29, 12 Pd 3.53-3.62
Sn 0.2174 0.2174 0.5000  6 Pd 2.69-2.72
Sn 0.2826 0.7174 0.0000  6 Pd 2.69-2.72
Sn 0.7174 0.2826 0.0000  6 Pd 2.69-2.72
Sn 0.7826 0.7826 0.5000  6 Pd 2.69-2.72
Pd 0.0916 0.6519 0.5000  3 Sn 2.69-2.72, 6 Pd 2.88-2.95
Pd 0.1519 0.4084 0.0000  3 Sn 2.69-2.72, 6 Pd 2.88-2.95
Pd 0.3481 0.9084 0.5000  3 Sn 2.69-2.72, 6 Pd 2.88-2.95
Pd 0.4084 0.1519 0.0000  3 Sn 2.69-2.72, 6 Pd 2.88-2.95
Pd 0.5916 0.8481 0.0000  3 Sn 2.69-2.72, 6 Pd 2.88-2.95
Pd 0.6519 0.0916 0.5000  3 Sn 2.69-2.72, 6 Pd 2.88-2.95
Pd 0.8481 0.5916 0.0000  3 Sn 2.69-2.72, 6 Pd 2.88-2.95
Pd 0.9084 0.3481 0.5000  3 Sn 2.69-2.72, 6 Pd 2.88-2.95

Values from the calculation:
Crystal system: tetragonal
Symmetry: P4_2/mnm (136)

---

The structure with the most favorable energy is 2; the runner-up is 42 meV per atom above it.